(1)
# AcLaTb2Tm4 (PBE, optimized geometry)
# - total magnetic moment (μB per formula unit) = 0.0
# - volume (Å³/atom) = 32.8
# - E_form (eV per formula unit) = 0.3
data_AcLaTb2Tm4
_chemical_formula_sum 'Ac4 La4 Tb8 Tm16'
_space_group_name_H-M_alt 'C 1 2/m 1'
_space_group_IT_number 12
_space_group_name_Hall '-C 2y'
_cell_length_a 12.4966
_cell_length_b 7.2032
_cell_length_c 12.3865
_cell_angle_alpha 90.00
_cell_angle_beta 109.66
_cell_angle_gamma 90.00
loop_
_atom_site_label
_atom_site_type_symbol
_atom_site_fract_x
_atom_site_fract_y
_atom_site_fract_z
Ac1 Ac 0.0000 0.0000 0.0000
Ac2 Ac 0.0000 0.0000 0.5000
La1 La 0.2500 0.2500 0.0000
Tb1 Tb 0.0000 0.5000 0.0000
Tb2 Tb 0.0000 0.5000 0.5000
Tb3 Tb 0.2500 0.2500 0.5000
Tm1 Tm 0.0014 0.2542 0.2522
Tm2 Tm 0.2478 0.5000 0.7456
Tm3 Tm 0.2488 0.5000 0.2508

---

(2)
# AcLa2TbTm (PBE, optimized geometry)
# - total magnetic moment (μB per formula unit) = 0.0
# - volume (Å³/atom) = 38.4
# - E_form (eV per formula unit) = 1.7
data_AcLa2TbTm
_chemical_formula_sum 'Ac4 La8 Tb4 Tm4'
_space_group_name_H-M_alt 'C m c m'
_space_group_IT_number 63
_space_group_name_Hall '-C 2c 2'
_cell_length_a 8.4083
_cell_length_b 12.1822
_cell_length_c 7.5044
_cell_angle_alpha 90.00
_cell_angle_beta 90.00
_cell_angle_gamma 90.00
loop_
_atom_site_label
_atom_site_type_symbol
_atom_site_fract_x
_atom_site_fract_y
_atom_site_fract_z
Ac1 Ac 0.0000 0.2414 0.2500
La1 La 0.1985 0.5000 0.0000
Tb1 Tb 0.0000 0.0504 0.7500
Tm1 Tm 0.0000 0.3033 0.7500

---

(3)
# AcLa2Tb4Tm (PBE, optimized geometry)
# - total magnetic moment (μB per formula unit) = 0.0
# - volume (Å³/atom) = 34.7
# - E_form (eV per formula unit) = 0.9
data_AcLa2Tb4Tm
_chemical_formula_sum 'Ac1 La2 Tb4 Tm1'
_space_group_name_H-M_alt 'P 4/m m m'
_space_group_IT_number 123
_space_group_name_Hall '-P 4 2'
_cell_length_a 5.9712
_cell_length_b 5.9712
_cell_length_c 7.7753
_cell_angle_alpha 90.00
_cell_angle_beta 90.00
_cell_angle_gamma 90.00
loop_
_atom_site_label
_atom_site_type_symbol
_atom_site_fract_x
_atom_site_fract_y
_atom_site_fract_z
Ac1 Ac 0.0000 0.0000 0.0000
La1 La 0.0000 0.0000 0.5000
La2 La 0.5000 0.5000 0.0000
Tb1 Tb 0.0000 0.5000 0.2637
Tm1 Tm 0.5000 0.5000 0.5000

---

(4)
# AcLa6TbTm2 (PBE, optimized geometry)
# - total magnetic moment (μB per formula unit) = 0.0
# - volume (Å³/atom) = 36.2
# - E_form (eV per formula unit) = 1.1
data_AcLa6TbTm2
_chemical_formula_sum 'Ac4 La24 Tb4 Tm8'
_space_group_name_H-M_alt 'C 1 2/c 1'
_space_group_IT_number 15
_space_group_name_Hall '-C 2yc'
_cell_length_a 9.4826
_cell_length_b 15.5119
_cell_length_c 9.9276
_cell_angle_alpha 90.00
_cell_angle_beta 97.14
_cell_angle_gamma 90.00
loop_
_atom_site_label
_atom_site_type_symbol
_atom_site_fract_x
_atom_site_fract_y
_atom_site_fract_z
Ac1 Ac 0.0000 0.0287 0.2500
La1 La 0.0662 0.1785 0.9477
La2 La 0.0966 0.3922 0.1211
La3 La 0.2226 0.2263 0.3142
Tb1 Tb 0.0000 0.4113 0.7500
Tm1 Tm 0.2457 0.4496 0.4525

---

(5)
# AcLa5Tb2Tm (PBE, optimized geometry)
# - total magnetic moment (μB per formula unit) = 0.0
# - volume (Å³/atom) = 37.1
# - E_form (eV per formula unit) = 2.4
data_AcLa5Tb2Tm
_chemical_formula_sum 'Ac4 La20 Tb8 Tm4'
_space_group_name_H-M_alt 'I 4/m c m'
_space_group_IT_number 140
_space_group_name_Hall '-I 4 2c'
_cell_length_a 9.5377
_cell_length_b 9.5377
_cell_length_c 14.6776
_cell_angle_alpha 90.00
_cell_angle_beta 90.00
_cell_angle_gamma 90.00
loop_
_atom_site_label
_atom_site_type_symbol
_atom_site_fract_x
_atom_site_fract_y
_atom_site_fract_z
Ac1 Ac 0.0000 0.0000 0.2500
La1 La 0.0000 0.0000 0.0000
La2 La 0.1995 0.3005 0.1289
Tb1 Tb 0.1094 0.3906 0.5000
Tm1 Tm 0.0000 0.5000 0.2500

---

(6)
# AcLa4TbTm2 (PBE, optimized geometry)
# - total magnetic moment (μB per formula unit) = 0.0
# - volume (Å³/atom) = 35.5
# - E_form (eV per formula unit) = 0.3
data_AcLa4TbTm2
_chemical_formula_sum 'Ac2 La8 Tb2 Tm4'
_space_group_name_H-M_alt 'C 1 2/m 1'
_space_group_IT_number 12
_space_group_name_Hall '-C 2y'
_cell_length_a 11.5845
_cell_length_b 5.2438
_cell_length_c 10.5086
_cell_angle_alpha 90.00
_cell_angle_beta 117.06
_cell_angle_gamma 90.00
loop_
_atom_site_label
_atom_site_type_symbol
_atom_site_fract_x
_atom_site_fract_y
_atom_site_fract_z
Ac1 Ac 0.0000 0.0000 0.0000
La1 La 0.2467 0.0000 0.8694
La2 La 0.2488 0.5000 0.6225
Tb1 Tb 0.0000 0.0000 0.5000
Tm1 Tm 0.0007 0.5000 0.7440